1.
Material: Li2NiPd6
Method: DFT, PBE-GGA
State: optimized geometry

Results
Polymorph energy (0 for the lowest one), eV per formula unit: 0.568
SG: C2/m
Energy of formation, meV/atom: -20.7

Lattice parameters (Å, degrees): 5.372 5.372 6.201 103.28 103.28 60.19
Positions (direct):
Li (0.155, 0.155, 0.376)
Li (0.845, 0.845, 0.624)
Ni (0.500, 0.500, 0.500)
Pd (0.111, 0.624, 0.185)
Pd (0.376, 0.889, 0.815)
Pd (0.379, 0.379, 0.806)
Pd (0.621, 0.621, 0.194)
Pd (0.624, 0.111, 0.185)
Pd (0.889, 0.376, 0.815)

=====

2.
Material: PmNd2
Method: DFT, PBE-GGA
State: optimized geometry

Results
Polymorph energy (0 for the lowest one), eV per formula unit: 0.334
SG: I4_1/amd
Energy of formation, meV/atom: 125.5

Lattice parameters (Å, degrees): 3.558 3.558 33.603 90.00 90.00 90.00
Positions (direct):
Pm (0.000, 0.250, 0.375)
Pm (0.000, 0.750, 0.625)
Pm (0.500, 0.250, 0.125)
Pm (0.500, 0.750, 0.875)
Nd (0.000, 0.250, 0.797)
Nd (0.000, 0.250, 0.953)
Nd (0.000, 0.750, 0.047)
Nd (0.000, 0.750, 0.203)
Nd (0.500, 0.250, 0.547)
Nd (0.500, 0.250, 0.703)
Nd (0.500, 0.750, 0.297)
Nd (0.500, 0.750, 0.453)

=====

3.
Material: NaTc3Br
Method: DFT, PBE-GGA
State: optimized geometry

Results
Raw formation energy, eV per formula unit: 7.88
Polymorph energy (0 for the lowest one), eV per formula unit: 0.000
SG: Pm-3m

Lattice parameters (Å, degrees): 4.628 4.628 4.628 90.00 90.00 90.00
Positions (direct):
Na (0.000, 0.000, 0.000)
Tc (0.000, 0.500, 0.500)
Tc (0.500, 0.000, 0.500)
Tc (0.500, 0.500, 0.000)
Br (0.500, 0.500, 0.500)

=====

4.
Material: Zr2SiBi
Method: DFT, PBE-GGA
State: optimized geometry

Results
Raw formation energy, eV per formula unit: -0.62
Polymorph energy (0 for the lowest one), eV per formula unit: 1.420
SG: Fm-3m

Lattice parameters (Å, degrees): 7.013 7.013 7.013 90.00 90.00 90.00
Positions (direct):
Zr (0.250, 0.250, 0.250)
Zr (0.250, 0.250, 0.750)
Zr (0.250, 0.750, 0.250)
Zr (0.250, 0.750, 0.750)
Zr (0.750, 0.250, 0.250)
Zr (0.750, 0.250, 0.750)
Zr (0.750, 0.750, 0.250)
Zr (0.750, 0.750, 0.750)
Si (0.000, 0.000, 0.000)
Si (0.000, 0.500, 0.500)
Si (0.500, 0.000, 0.500)
Si (0.500, 0.500, 0.000)
Bi (0.000, 0.000, 0.500)
Bi (0.000, 0.500, 0.000)
Bi (0.500, 0.000, 0.000)
Bi (0.500, 0.500, 0.500)

=====

| no. | DOS(E_F) (states/eV/cell) |
| --- | --- |
| 1 | 8.8 |
| 2 | 14.8 |
| 3 | 3.9 |
| 4 | 13.5 |